[1]
La2Tb6PmDy: optimized geometry, PBE. Values from VASP.

* V: 669 Å³/cell
* formation energy from the elements: 0.12 eV per atom
* total energy: -4.582 eV/atom
* magnetization: 0.00 μB/cell
* symmetry: C2/c

Geometry as Quantum ESPRESSO input:
```
&SYSTEM
  ibrav = 0, nat = 20, ntyp = 4
/
ATOMIC_SPECIES
La 138.91 La.upf
Tb 158.93 Tb.upf
Pm 145.00 Pm.upf
Dy 162.50 Dy.upf
CELL_PARAMETERS angstrom
-9.054 -3.002 2.803
4.258 -6.767 3.661
-0.255 7.579 4.452
ATOMIC_POSITIONS crystal
La 0.458 0.808 0.711
La 0.042 0.289 0.192
La 0.542 0.192 0.289
La 0.958 0.711 0.808
Tb 0.057 0.120 0.735
Tb 0.443 0.265 0.880
Tb 0.943 0.880 0.265
Tb 0.557 0.735 0.120
Tb 0.311 0.979 0.422
Tb 0.189 0.578 0.021
Tb 0.689 0.021 0.578
Tb 0.811 0.422 0.979
Tb 0.119 0.701 0.491
Tb 0.381 0.509 0.299
Tb 0.881 0.299 0.509
Tb 0.619 0.491 0.701
Pm 0.250 0.987 0.013
Pm 0.750 0.013 0.987
Dy 0.250 0.405 0.595
Dy 0.750 0.595 0.405
```

***

[2]
Tb6AlIn3: optimized geometry, PBE. Values from VASP.

* V: 546 Å³/cell
* formation energy from the elements: -0.36 eV per atom
* total energy: -4.330 eV/atom
* magnetization: 0.00 μB/cell
* symmetry: P2_1/m

Geometry as Quantum ESPRESSO input:
```
&SYSTEM
  ibrav = 0, nat = 20, ntyp = 3
/
ATOMIC_SPECIES
Tb 158.93 Tb.upf
Al 26.98 Al.upf
In 114.82 In.upf
CELL_PARAMETERS angstrom
-0.152 2.965 -4.391
7.397 -4.528 -3.314
-9.500 -5.721 -3.533
ATOMIC_POSITIONS crystal
Tb 0.250 0.465 0.088
Tb 0.750 0.535 0.912
Tb 0.250 0.133 0.167
Tb 0.750 0.867 0.833
Tb 0.250 0.664 0.671
Tb 0.750 0.336 0.329
Tb 0.250 0.235 0.499
Tb 0.750 0.765 0.501
Tb 0.250 0.850 0.318
Tb 0.750 0.150 0.682
Tb 0.250 0.099 0.876
Tb 0.750 0.901 0.124
Al 0.250 0.956 0.603
Al 0.750 0.044 0.397
In 0.250 0.527 0.382
In 0.750 0.473 0.618
In 0.250 0.380 0.783
In 0.750 0.620 0.217
In 0.250 0.774 0.970
In 0.750 0.226 0.030
```

***

[3]
InPdRu2: optimized geometry, PBE. Values from VASP.

* V: 140 Å³/cell
* formation energy from the elements: 0.68 eV per atom
* total energy: -5.936 eV/atom
* magnetization: 1.45 μB/cell
* symmetry: I-42d

Geometry as Quantum ESPRESSO input:
```
&SYSTEM
  ibrav = 0, nat = 8, ntyp = 3
/
ATOMIC_SPECIES
Ru 101.07 Ru.upf
Pd 106.42 Pd.upf
In 114.82 In.upf
CELL_PARAMETERS angstrom
7.360 0.000 0.000
0.000 7.360 0.000
3.680 3.680 2.589
ATOMIC_POSITIONS crystal
Ru 0.613 0.125 0.250
Ru 0.137 0.625 0.250
Ru 0.375 0.387 0.750
Ru 0.875 0.863 0.750
Pd 0.500 0.500 0.000
Pd 0.250 0.750 0.500
In 0.000 0.000 0.000
In 0.750 0.250 0.500
```

***

[4]
K3PmY2Se6: optimized geometry, PBE. Values from VASP.

* V: 361 Å³/cell
* total energy: -5.257 eV/atom
* magnetization: 0.00 μB/cell
* symmetry: C2/m
* formation energy from raw total energies: -1.768 eV/atom

Geometry as Quantum ESPRESSO input:
```
&SYSTEM
  ibrav = 0, nat = 12, ntyp = 4
/
ATOMIC_SPECIES
K 39.10 K.upf
Pm 145.00 Pm.upf
Y 88.91 Y.upf
Se 78.96 Se.upf
CELL_PARAMETERS angstrom
7.364 -0.001 0.000
-3.681 6.378 0.000
-1.228 -2.127 7.693
ATOMIC_POSITIONS crystal
K 0.166 0.834 0.500
K 0.834 0.166 0.500
K 0.500 0.500 0.500
Pm 0.000 0.000 0.000
Y 0.333 0.667 0.000
Y 0.667 0.333 0.000
Se 0.931 0.592 0.793
Se 0.730 0.730 0.207
Se 0.069 0.408 0.207
Se 0.592 0.931 0.793
Se 0.270 0.270 0.793
Se 0.408 0.069 0.207
```

***

[5]
CaHg3Pd: optimized geometry, PBE. Values from VASP.

* polymorph energy (0 for the lowest one): 0.0 meV per atom
* V: 482 Å³/cell
* formation energy from the elements: -0.37 eV per atom
* total energy: -1.988 eV/atom
* magnetization: 0.00 μB/cell
* symmetry: Pnma

Geometry as Quantum ESPRESSO input:
```
&SYSTEM
  ibrav = 0, nat = 20, ntyp = 3
/
ATOMIC_SPECIES
Ca 40.08 Ca.upf
Hg 200.59 Hg.upf
Pd 106.42 Pd.upf
CELL_PARAMETERS angstrom
-3.129 1.715 -2.483
4.391 -3.183 -7.734
-6.048 -10.028 0.693
ATOMIC_POSITIONS crystal
Ca 0.750 0.788 0.997
Ca 0.250 0.712 0.497
Ca 0.750 0.288 0.503
Ca 0.250 0.212 0.003
Hg 0.250 0.551 0.091
Hg 0.750 0.449 0.909
Hg 0.250 0.051 0.409
Hg 0.750 0.949 0.591
Hg 0.250 0.429 0.679
Hg 0.750 0.071 0.179
Hg 0.250 0.929 0.821
Hg 0.750 0.668 0.702
Hg 0.250 0.332 0.298
Hg 0.750 0.168 0.798
Hg 0.750 0.571 0.321
Hg 0.250 0.832 0.202
Pd 0.250 0.138 0.642
Pd 0.250 0.638 0.858
Pd 0.750 0.362 0.142
Pd 0.750 0.862 0.358
```

***

[6]
MgTlSnSb: optimized geometry, PBE. Values from VASP.

* polymorph energy (0 for the lowest one): 0.0 meV per atom
* V: 110 Å³/cell
* total energy: -3.077 eV/atom
* magnetization: 0.00 μB/cell
* symmetry: Cm
* formation energy from raw total energies: -0.055 eV/atom

Geometry as Quantum ESPRESSO input:
```
&SYSTEM
  ibrav = 0, nat = 4, ntyp = 4
/
ATOMIC_SPECIES
Mg 24.30 Mg.upf
Tl 204.38 Tl.upf
Sn 118.71 Sn.upf
Sb 121.76 Sb.upf
CELL_PARAMETERS angstrom
3.378 -0.001 0.006
-0.001 3.378 -0.006
-0.006 0.006 9.601
ATOMIC_POSITIONS crystal
Mg 0.645 0.355 0.473
Tl 0.647 0.353 0.964
Sn 0.148 0.852 0.691
Sb 0.146 0.854 0.260
```

***

[7]
Li3PmSe3: optimized geometry, PBE. Values from VASP.

* V: 327 Å³/cell
* total energy: -4.478 eV/atom
* magnetization: 0.00 μB/cell
* symmetry: R-3
* formation energy from raw total energies: -1.485 eV/atom

Geometry as Quantum ESPRESSO input:
```
&SYSTEM
  ibrav = 0, nat = 14, ntyp = 3
/
ATOMIC_SPECIES
Li 6.94 Li.upf
Pm 145.00 Pm.upf
Se 78.96 Se.upf
CELL_PARAMETERS angstrom
6.610 0.000 3.365
2.448 6.139 3.365
0.044 0.030 8.088
ATOMIC_POSITIONS crystal
Li 0.424 0.811 0.635
Li 0.811 0.130 0.635
Li 0.130 0.424 0.635
Li 0.870 0.576 0.365
Li 0.189 0.870 0.365
Li 0.576 0.189 0.365
Pm 0.334 0.334 0.999
Pm 0.666 0.666 0.001
Se 0.272 0.556 0.253
Se 0.919 0.272 0.253
Se 0.556 0.919 0.253
Se 0.444 0.081 0.747
Se 0.081 0.728 0.747
Se 0.728 0.444 0.747
```

***

[8]
TmSc4Al5: optimized geometry, PBE. Values from VASP.

* V: 198 Å³/cell
* formation energy from the elements: -0.43 eV per atom
* total energy: -5.285 eV/atom
* magnetization: 0.00 μB/cell
* symmetry: P4/mmm

Geometry as Quantum ESPRESSO input:
```
&SYSTEM
  ibrav = 0, nat = 10, ntyp = 3
/
ATOMIC_SPECIES
Tm 168.93 Tm.upf
Sc 44.96 Sc.upf
Al 26.98 Al.upf
CELL_PARAMETERS angstrom
-2.454 -2.122 -1.034
-0.671 -0.804 3.240
-11.369 12.755 0.810
ATOMIC_POSITIONS crystal
Tm 0.000 0.000 0.000
Sc 0.000 0.000 0.207
Sc 0.000 0.000 0.403
Sc 0.000 0.000 0.597
Sc 0.000 0.000 0.793
Al 0.500 0.500 0.111
Al 0.500 0.500 0.305
Al 0.500 0.500 0.500
Al 0.500 0.500 0.695
Al 0.500 0.500 0.889
```

***

- The lowest V belongs to which entry?
  MgTlSnSb

***

- Number 1 is which compound?
  La2Tb6PmDy

***

- The highest total energy belongs to which entry?
  CaHg3Pd

***

- Among the records above, which one has the highest V?
  La2Tb6PmDy